1.
The following is a PBE calculation of crystalline CaCd2Re at its relaxed geometry, from the Alexandria database.

```
8
Lattice="6.1059 0.0000 0.0000 0.0000 8.8553 0.0000 0.0000 0.0000 2.9637" Properties=species:S:1:pos:R:3 pbc="T T T"
Ca 0.0000 0.0000 0.0000
Ca 3.0530 4.4276 0.0000
Cd 1.5265 2.2138 1.4818
Cd 1.5265 6.6415 1.4818
Cd 4.5794 2.2138 1.4818
Cd 4.5794 6.6415 1.4818
Re 0.0000 4.4276 0.0000
Re 3.0530 0.0000 0.0000
```

Summary:
As for the symmetry: Cmmm, No. 65. The value obtained for the energy relative to the lowest polymorph listed for this composition is 97.9 meV per atom. The calculation puts the formation energy at 0.508 eV/atom. For the total energy, the calculation gives -14.25 eV/f.u.

2.
The following is a PBE calculation of crystalline Ba2CaAl12Ir3 at its relaxed geometry, from the Alexandria database.

```
18
Lattice="4.5413 2.6219 6.8631 -4.5413 2.6219 6.8631 0.0000 -5.2438 6.8631" Properties=species:S:1:pos:R:3 pbc="T T T"
Ba 0.0000 0.0000 1.7888
Ba 0.0000 0.0000 18.8005
Ca 0.0000 0.0000 10.2947
Al -2.9403 -1.6976 9.2063
Al 0.0000 -1.7808 7.1784
Al -1.5422 0.8904 7.1784
Al 0.0000 -3.3952 11.3831
Al -2.9403 1.6976 11.3831
Al -1.5422 -0.8904 13.4110
Al 1.5422 0.8904 7.1784
Al 2.9403 -1.6976 9.2063
Al 0.0000 3.3952 9.2063
Al 1.5422 -0.8904 13.4110
Al 0.0000 1.7808 13.4110
Al 2.9403 1.6976 11.3830
Ir -2.2706 -1.3110 6.8631
Ir -2.2706 1.3110 13.7262
Ir 0.0000 2.6219 6.8631
```

Summary:
As for the symmetry: R-3m, No. 166. The calculation puts the formation energy at -0.051 eV/atom. For the total energy, the calculation gives -78.26 eV/f.u.

3.
The following is a PBE calculation of crystalline Hf6FeAu at its relaxed geometry, from the Alexandria database.

```
16
Lattice="6.0593 0.0000 0.0000 0.0000 9.4231 0.0000 -0.9533 0.0000 5.5985" Properties=species:S:1:pos:R:3 pbc="T T T"
Hf 0.5009 1.9942 1.4510
Hf 0.5009 7.4289 1.4510
Hf 0.6135 0.0000 5.0784
Hf 1.4628 4.7116 0.5201
Hf 1.5755 2.7173 4.1475
Hf 1.5755 6.7058 4.1475
Hf 3.5305 2.7173 1.4510
Hf 3.5305 6.7058 1.4510
Hf 3.6432 4.7116 5.0784
Hf 4.4925 0.0000 0.5201
Hf 4.6051 1.9942 4.1475
Hf 4.6051 7.4289 4.1475
Fe -0.4767 0.0000 2.7993
Fe 2.5530 4.7116 2.7993
Au -0.4767 4.7116 2.7993
Au 2.5530 0.0000 2.7993
```

Summary:
As for the symmetry: C2/m, No. 12. The calculation puts the formation energy at -0.089 eV/atom. For the total energy, the calculation gives -72.17 eV/f.u.

Repeat the second record exactly.
The following is a PBE calculation of crystalline Ba2CaAl12Ir3 at its relaxed geometry, from the Alexandria database.

```
18
Lattice="4.5413 2.6219 6.8631 -4.5413 2.6219 6.8631 0.0000 -5.2438 6.8631" Properties=species:S:1:pos:R:3 pbc="T T T"
Ba 0.0000 0.0000 1.7888
Ba 0.0000 0.0000 18.8005
Ca 0.0000 0.0000 10.2947
Al -2.9403 -1.6976 9.2063
Al 0.0000 -1.7808 7.1784
Al -1.5422 0.8904 7.1784
Al 0.0000 -3.3952 11.3831
Al -2.9403 1.6976 11.3831
Al -1.5422 -0.8904 13.4110
Al 1.5422 0.8904 7.1784
Al 2.9403 -1.6976 9.2063
Al 0.0000 3.3952 9.2063
Al 1.5422 -0.8904 13.4110
Al 0.0000 1.7808 13.4110
Al 2.9403 1.6976 11.3830
Ir -2.2706 -1.3110 6.8631
Ir -2.2706 1.3110 13.7262
Ir 0.0000 2.6219 6.8631
```

Summary:
As for the symmetry: R-3m, No. 166. The calculation puts the formation energy at -0.051 eV/atom. For the total energy, the calculation gives -78.26 eV/f.u.

- Which value of formation energy does entry 3 give?
  -0.089 eV/atom